Record 1
Hf3IO: relaxed, PBE-GGA.

abc: 4.519 4.519 4.519
angles: 90.00 90.00 90.00
Element x y z (fractional)
Hf 0.000 0.000 0.500
Hf 0.000 0.500 0.000
Hf 0.500 0.000 0.000
I 0.500 0.500 0.500
O 0.000 0.000 0.000

Values from the calculation:
E_form (uncorrected)   -0.489 eV/atom
Calculated volume   18.5 Å³/atom
Polymorph energy (0 for the lowest one)   0 meV per atom
Symmetry   Pm-3m

---

Record 2
HfI2O2: relaxed, PBE-GGA.

abc: 4.202 4.202 6.331
angles: 90.00 90.00 90.00
Element x y z (fractional)
Hf 0.000 0.000 0.000
I 0.000 0.000 0.500
I 0.500 0.500 0.500
O 0.000 0.500 0.000
O 0.500 0.000 0.000

Values from the calculation:
E_form (uncorrected)   -1.269 eV/atom
Calculated volume   22.4 Å³/atom
Polymorph energy (0 for the lowest one)   0 meV per atom
Symmetry   P4/mmm

---

Record 3
HfI2O2: relaxed, PBE-GGA.

abc: 4.122 4.122 7.415
angles: 90.00 90.00 90.00
Element x y z (fractional)
Hf 0.000 0.000 0.000
I 0.500 0.500 0.000
I 0.500 0.500 0.500
O 0.000 0.500 0.500
O 0.500 0.000 0.500

Values from the calculation:
E_form (uncorrected)   0.477 eV/atom
Calculated volume   25.2 Å³/atom
Polymorph energy (0 for the lowest one)   1746 meV per atom
Symmetry   P4/mmm

---

Record 4
HfIO: relaxed, PBE-GGA.

abc: 8.397 8.397 8.397
angles: 93.75 93.75 150.35
Element x y z (fractional)
Hf 0.000 0.361 0.361
Hf 0.000 0.639 0.639
Hf 0.361 0.000 0.361
Hf 0.639 0.000 0.639
I 0.156 0.156 0.312
I 0.156 0.844 0.000
I 0.844 0.156 0.000
I 0.844 0.844 0.688
O 0.134 0.500 0.634
O 0.500 0.134 0.634
O 0.500 0.866 0.366
O 0.866 0.500 0.366

Values from the calculation:
E_form (uncorrected)   -1.797 eV/atom
Calculated volume   23.6 Å³/atom
Symmetry   I4/mmm